This record from Alexandria describes a relaxed structure of TcRu2Pt. The functional is PBE-GGA.

Summary:
SG: C2/m (12)
VASP energy, eV per cell: -69.998
Volume, Å³/atom: 14.47
Polymorph energy (0 for the lowest one), eV per atom: 0.065
Energy relative to the elements, eV/atom: -0.010
Density, g/cm3: 14.20

The structure in extended XYZ format:
```
8
Lattice="9.074 0.000 0.000 0.000 2.717 0.000 -0.811 0.000 4.698" Properties=species:S:1:pos:R:3 pbc="T T T"
Tc 0.000 0.000 0.000
Tc 4.537 1.358 0.000
Ru 2.033 1.358 1.114
Ru 1.692 0.000 3.584
Ru 6.570 0.000 1.114
Ru 6.229 1.358 3.584
Pt -0.406 1.358 2.349
Pt 4.131 0.000 2.349
```

***

This record from Alexandria describes a relaxed structure of K2BeSb. The functional is PBE-GGA.

Summary:
SG: R-3m (166)
VASP energy, eV per cell: -22.697
Volume, Å³/atom: 33.44
Polymorph energy (0 for the lowest one), eV per atom: 0.635
Density, g/cm3: 2.59
Formation energy (no corrections), eV/atom: 0.6195

The structure in extended XYZ format:
```
12
Lattice="3.699 0.000 0.000 -1.849 3.203 0.000 0.000 0.000 33.869" Properties=species:S:1:pos:R:3 pbc="T T T"
K 0.000 0.000 8.477
K 0.000 0.000 25.392
K 0.000 2.135 14.103
K 0.000 2.135 31.057
K 1.849 1.068 2.813
K 1.849 1.068 19.767
Be 0.000 0.000 0.000
Be 0.000 2.135 22.580
Be 1.849 1.068 11.290
Sb 0.000 0.000 16.935
Sb 0.000 2.135 5.645
Sb 1.849 1.068 28.224
```